# 1
# GGA-PBE RbCaGa3, optimized geometry
data_RbCaGa3
_symmetry_space_group_name_H-M 'P m -3 m'
_symmetry_Int_Tables_number 221
_symmetry_space_group_name_Hall '-P 4 2 3'
_cell_length_a 5.7844
_cell_length_b 5.7844
_cell_length_c 5.7844
_cell_angle_alpha 90.00
_cell_angle_beta 90.00
_cell_angle_gamma 90.00
loop_
_atom_site_label
_atom_site_type_symbol
_atom_site_fract_x
_atom_site_fract_y
_atom_site_fract_z
Rb1 Rb 0.0000 0.0000 0.0000
Ca1 Ca 0.5000 0.5000 0.5000
Ga1 Ga 0.0000 0.5000 0.5000
# ΔE to the lowest computed polymorph = 0.0 meV per atom
# Final energy = -2.028 eV per atom
# Formation energy = 0.382 eV per atom


# 2
# GGA-PBE LiTbCdGa, optimized geometry
data_LiTbCdGa
_symmetry_space_group_name_H-M 'F -4 3 m'
_symmetry_Int_Tables_number 216
_symmetry_space_group_name_Hall 'F -4 2 3'
_cell_length_a 6.9889
_cell_length_b 6.9889
_cell_length_c 6.9889
_cell_angle_alpha 90.00
_cell_angle_beta 90.00
_cell_angle_gamma 90.00
loop_
_atom_site_label
_atom_site_type_symbol
_atom_site_fract_x
_atom_site_fract_y
_atom_site_fract_z
Li1 Li 0.0000 0.0000 0.0000
Tb1 Tb 0.0000 0.0000 0.5000
Cd1 Cd 0.2500 0.2500 0.7500
Ga1 Ga 0.2500 0.2500 0.2500
# Final energy = -2.992 eV per atom
# Formation energy = -0.371 eV per atom


# 3
# GGA-PBE SrHgW2, optimized geometry
data_SrHgW2
_symmetry_space_group_name_H-M 'C m m m'
_symmetry_Int_Tables_number 65
_symmetry_space_group_name_Hall '-C 2 2'
_cell_length_a 3.9515
_cell_length_b 4.0667
_cell_length_c 10.1226
_cell_angle_alpha 90.00
_cell_angle_beta 90.00
_cell_angle_gamma 90.00
loop_
_atom_site_label
_atom_site_type_symbol
_atom_site_fract_x
_atom_site_fract_y
_atom_site_fract_z
Sr1 Sr 0.0000 0.0000 0.0000
Hg1 Hg 0.0000 0.0000 0.5000
W1 W 0.0000 0.5000 0.2742
# Final energy = -5.858 eV per atom
# Formation energy = 1.115 eV per atom


# 4
# GGA-PBE Mg2CoRh, optimized geometry
data_Mg2CoRh
_symmetry_space_group_name_H-M 'R 3 m'
_symmetry_Int_Tables_number 160
_symmetry_space_group_name_Hall 'R 3 -2"'
_cell_length_a 2.8739
_cell_length_b 2.8739
_cell_length_c 26.9867
_cell_angle_alpha 90.00
_cell_angle_beta 90.00
_cell_angle_gamma 120.00
loop_
_atom_site_label
_atom_site_type_symbol
_atom_site_fract_x
_atom_site_fract_y
_atom_site_fract_z
Mg1 Mg 0.0000 0.0000 0.0000
Mg2 Mg 0.0000 0.0000 0.2302
Co1 Co 0.0000 0.0000 0.7458
Rh1 Rh 0.0000 0.0000 0.4842
# Final energy = -4.330 eV per atom
# Formation energy = 0.082 eV per atom


# 5
# GGA-PBE Nd4ErTl3, optimized geometry
data_Nd4ErTl3
_symmetry_space_group_name_H-M 'R -3 m'
_symmetry_Int_Tables_number 166
_symmetry_space_group_name_Hall '-R 3 2"'
_cell_length_a 5.5236
_cell_length_b 5.5236
_cell_length_c 27.9674
_cell_angle_alpha 90.00
_cell_angle_beta 90.00
_cell_angle_gamma 120.00
loop_
_atom_site_label
_atom_site_type_symbol
_atom_site_fract_x
_atom_site_fract_y
_atom_site_fract_z
Nd1 Nd 0.0000 0.0000 0.1147
Nd2 Nd 0.0000 0.0000 0.3688
Er1 Er 0.0000 0.0000 0.5000
Tl1 Tl 0.0000 0.0000 0.0000
Tl2 Tl 0.0000 0.0000 0.2363
# ΔE to the lowest computed polymorph = 0.0 meV per atom
# Final energy = -4.081 eV per atom
# Formation energy = -0.239 eV per atom


# 6
# GGA-PBE Co5Ni2Pt, optimized geometry
data_Co5Ni2Pt
_symmetry_space_group_name_H-M 'P m m n'
_symmetry_Int_Tables_number 59
_cell_length_a 4.1034
_cell_length_b 10.2233
_cell_length_c 4.4217
_cell_angle_alpha 90.00
_cell_angle_beta 90.00
_cell_angle_gamma 90.00
loop_
_symmetry_equiv_pos_as_xyz
'x,y,z'
'-x,-y,-z'
'-x+1/2,-y+1/2,z'
'x+1/2,y+1/2,-z'
'x+1/2,-y,-z'
'-x+1/2,y,z'
'-x,y+1/2,-z'
'x,-y+1/2,z'
loop_
_atom_site_label
_atom_site_type_symbol
_atom_site_fract_x
_atom_site_fract_y
_atom_site_fract_z
Co1 Co 0.2500 0.0045 0.1664
Co2 Co 0.2500 0.2500 0.1834
Co3 Co 0.2500 0.6193 0.6652
Ni1 Ni 0.2500 0.1209 0.6638
Pt1 Pt 0.2500 0.7500 0.1651
# Final energy = -6.686 eV per atom
# Formation energy = -0.044 eV per atom


# 7
# GGA-PBE AlRe2Ni, optimized geometry
data_AlRe2Ni
_symmetry_space_group_name_H-M 'I -4 2 d'
_symmetry_Int_Tables_number 122
_symmetry_space_group_name_Hall 'I -4 2bw'
_cell_length_a 6.9805
_cell_length_b 6.9805
_cell_length_c 4.9796
_cell_angle_alpha 90.00
_cell_angle_beta 90.00
_cell_angle_gamma 90.00
loop_
_atom_site_label
_atom_site_type_symbol
_atom_site_fract_x
_atom_site_fract_y
_atom_site_fract_z
Al1 Al 0.0000 0.0000 0.0000
Re1 Re 0.2187 0.2500 0.6250
Ni1 Ni 0.0000 0.0000 0.5000
# Final energy = -7.995 eV per atom
# Formation energy = 0.610 eV per atom


# 8
# GGA-PBE Y6CuBi2, optimized geometry
data_Y6CuBi2
_symmetry_space_group_name_H-M 'P 1 21/c 1'
_symmetry_Int_Tables_number 14
_symmetry_space_group_name_Hall '-P 2ybc'
_cell_length_a 6.4601
_cell_length_b 8.0908
_cell_length_c 12.0246
_cell_angle_alpha 90.00
_cell_angle_beta 122.34
_cell_angle_gamma 90.00
loop_
_atom_site_label
_atom_site_type_symbol
_atom_site_fract_x
_atom_site_fract_y
_atom_site_fract_z
Y1 Y 0.0875 0.1965 0.4581
Y2 Y 0.3278 0.6733 0.4592
Y3 Y 0.3802 0.0295 0.2430
Cu1 Cu 0.5000 0.0000 0.5000
Bi1 Bi 0.1413 0.1140 0.7435
# Final energy = -6.035 eV per atom
# Formation energy = -0.408 eV per atom